(1)
Ac3Ga2Ir3: optimized geometry, GGA-PBE.

total magnetization: 0.0 μB per formula unit
energy relative to the elements: -5.266 eV per formula unit
energy: -6.28 eV per atom
crystal system: orthorhombic

Lattice parameters (Å, degrees): 4.244 6.527 14.768 90.00 90.00 108.97
Positions (direct):
Ir 0.392 0.783 0.540
Ir 0.392 0.783 0.960
Ir 0.684 0.369 0.750
Ir 0.316 0.631 0.250
Ir 0.608 0.217 0.460
Ir 0.608 0.217 0.040
Ga 0.221 0.442 0.079
Ga 0.779 0.558 0.579
Ga 0.221 0.442 0.421
Ga 0.779 0.558 0.921
Ac 0.077 0.154 0.613
Ac 0.923 0.846 0.113
Ac 0.077 0.154 0.887
Ac 0.923 0.846 0.387
Ac 0.649 0.297 0.250
Ac 0.351 0.703 0.750

(2)
Ac3La2Ga2Ir4: optimized geometry, GGA-PBE.

total magnetization: 0.0 μB per formula unit
energy relative to the elements: -7.405 eV per formula unit
energy: -6.46 eV per atom
crystal system: trigonal

Lattice parameters (Å, degrees): 4.390 4.390 17.936 90.00 90.00 120.00
Positions (direct):
La 0.333 0.667 0.584
La 0.667 0.333 0.416
Ga 0.333 0.667 0.122
Ga 0.667 0.333 0.878
Ir 0.667 0.333 0.119
Ir 0.333 0.667 0.881
Ir 0.667 0.333 0.656
Ir 0.333 0.667 0.344
Ac 0.000 0.000 0.243
Ac 0.000 0.000 0.757
Ac 0.000 0.000 0.000

Which of these has the highest energy? Ac3Ga2Ir3

Which of these has the lowest energy relative to the elements? Ac3La2Ga2Ir4

Which value of total magnetization does entry 1 give? 0.0 μB per formula unit